Cs5Sm2Br12 after structural relaxation, computed with GGA-PBE.

Space-group type: No. 12
Uncorrected formation energy in eV per atom: -1.686

Lattice parameters (Å, degrees): 8.877 10.341 10.341 65.63 79.14 79.14
Fractional coordinates of all 19 atoms:
Br 0.783 0.695 0.112
Br 0.879 0.065 0.065
Br 0.229 0.141 0.560
Br 0.771 0.440 0.859
Br 0.229 0.560 0.141
Br 0.217 0.305 0.888
Br 0.836 0.466 0.466
Br 0.217 0.888 0.305
Br 0.783 0.112 0.695
Br 0.121 0.935 0.935
Br 0.164 0.534 0.534
Br 0.771 0.859 0.440
Cs 0.500 0.000 0.000
Cs 0.028 0.248 0.248
Cs 0.479 0.637 0.637
Cs 0.972 0.752 0.752
Cs 0.521 0.363 0.363
Sm 0.000 0.725 0.275
Sm 0.000 0.275 0.725



LiLaAg2P after structural relaxation, computed with GGA-PBE.

Space-group type: No. 123
Calculated formation energy in eV per atom: -0.2581

Lattice parameters (Å, degrees): 4.556 4.984 4.556 90.00 90.00 90.00
Fractional coordinates of all 5 atoms:
Ag 0.500 0.000 0.000
Ag 0.000 0.000 0.500
P 0.000 0.500 0.000
La 0.500 0.500 0.500
Li 0.000 0.000 0.000



Repeat the second record exactly.
LiLaAg2P after structural relaxation, computed with GGA-PBE.

Space-group type: No. 123
Calculated formation energy in eV per atom: -0.2581

Lattice parameters (Å, degrees): 4.556 4.984 4.556 90.00 90.00 90.00
Fractional coordinates of all 5 atoms:
Ag 0.500 0.000 0.000
Ag 0.000 0.000 0.500
P 0.000 0.500 0.000
La 0.500 0.500 0.500
Li 0.000 0.000 0.000